No. 1
{"formula": "HoTmPbC", "functional": "PBE-GGA", "state": "optimized geometry", "lattice": [[3.5996, 0.0000, 0.0000], [-1.7998, 3.1174, 0.0000], [0.0000, 0.0000, 15.9311]], "species": ["Ho", "Ho", "Tm", "Tm", "Pb", "Pb", "C", "C"], "frac_coords": [[0.3333, 0.6667, 0.0828], [0.6667, 0.3333, 0.9172], [0.3333, 0.6667, 0.4185], [0.6667, 0.3333, 0.5815], [0.3333, 0.6667, 0.7487], [0.6667, 0.3333, 0.2513], [0.0000, 0.0000, 0.0000], [0.0000, 0.0000, 0.5000]], "sg": "No. 164"}

---

No. 2
{"formula": "Nb2AsAu", "functional": "PBE-GGA", "state": "optimized geometry", "lattice": [[0.0000, 3.3027, 3.3027], [3.3027, 0.0000, 3.3027], [3.3027, 3.3027, 0.0000]], "species": ["Nb", "Nb", "As", "Au"], "frac_coords": [[0.0000, 0.0000, 0.0000], [0.2500, 0.2500, 0.2500], [0.5000, 0.5000, 0.5000], [0.7500, 0.7500, 0.7500]], "sg": "No. 216"}

---

No. 3
{"formula": "CsSrPd", "functional": "PBE-GGA", "state": "optimized geometry", "lattice": [[0.0000, 3.7729, 3.7729], [3.7729, 0.0000, 3.7729], [3.7729, 3.7729, 0.0000]], "species": ["Cs", "Sr", "Pd"], "frac_coords": [[0.0000, 0.0000, 0.0000], [0.2500, 0.2500, 0.2500], [0.7500, 0.7500, 0.7500]], "sg": "No. 216"}

---

No. 4
{"formula": "PuZnCu", "functional": "PBE-GGA", "state": "optimized geometry", "lattice": [[0.0000, 3.1781, 3.1781], [3.1781, 0.0000, 3.1781], [3.1781, 3.1781, 0.0000]], "species": ["Pu", "Zn", "Cu"], "frac_coords": [[0.0000, 0.0000, 0.0000], [0.5000, 0.5000, 0.5000], [0.2500, 0.2500, 0.2500]], "sg": "No. 216", "ef_ev_per_fu": 0.407}

---

Values for VASP energy, eV/atom, ordered as above
-6.02 -6.69 -2.03 -6.23
Values for calculated density, Mg/m³, ordered as above
10.27 10.55 5.05 9.65